No. 1
DFT (GGA-PBE) results for crystalline SbIr2 at its relaxed geometry.

Calculated values
The total energy comes out at -6.851 eV per atom. As for the energy relative to the elements, uncorrected: 0.4304 eV per atom. The calculation puts the volume at 18.1 Å³ per atom.

Unit cell a=10.018 b=10.018 c=10.018 alpha=160.81 beta=160.81 gamma=27.27
Element x y z (fractional)
Sb  0.000  0.000  0.000
Sb  0.750  0.250  0.500
Ir  0.573  0.573  0.000
Ir  0.177  0.677  0.500
Ir  0.427  0.427  0.000
Ir  0.323  0.823  0.500


No. 2
DFT (GGA-PBE) results for crystalline SbIr2 at its relaxed geometry.

Calculated values
The total energy comes out at -7.046 eV per atom. As for the energy relative to the elements, uncorrected: 0.2352 eV per atom. The calculation puts the volume at 17.2 Å³ per atom.

Unit cell a=5.795 b=5.795 c=6.462 alpha=69.13 beta=69.13 gamma=30.82
Element x y z (fractional)
Sb  0.809  0.809  0.176
Sb  0.191  0.191  0.824
Ir  0.443  0.443  0.831
Ir  0.123  0.123  0.479
Ir  0.877  0.877  0.521
Ir  0.557  0.557  0.169


No. 3
DFT (GGA-PBE) results for crystalline SbIr2 at its relaxed geometry.

Calculated values
The total energy comes out at -7.051 eV per atom. As for the energy relative to the elements, uncorrected: 0.2310 eV per atom. The calculation puts the volume at 16.9 Å³ per atom.

Unit cell a=6.596 b=6.596 c=4.117 alpha=90.00 beta=90.00 gamma=145.57
Element x y z (fractional)
Sb  0.099  0.901  0.250
Sb  0.901  0.099  0.750
Ir  0.416  0.584  0.250
Ir  0.584  0.416  0.750
Ir  0.742  0.258  0.250
Ir  0.258  0.742  0.750


No. 4
DFT (GGA-PBE) results for crystalline SbIr2 at its relaxed geometry.

Calculated values
The total energy comes out at -6.885 eV per atom. As for the energy relative to the elements, uncorrected: 0.3960 eV per atom. The calculation puts the volume at 16.8 Å³ per atom.

Unit cell a=5.875 b=5.875 c=5.875 alpha=150.04 beta=150.04 gamma=42.88
Element x y z (fractional)
Ir  0.337  0.337  0.000
Ir  0.663  0.663  0.000
Sb  0.000  0.000  0.000


No. 5
DFT (GGA-PBE) results for crystalline Sb2Ir at its relaxed geometry.

Calculated values
The total energy comes out at -4.884 eV per atom. As for the energy relative to the elements, uncorrected: 0.8179 eV per atom. The calculation puts the volume at 28.3 Å³ per atom.

Unit cell a=5.934 b=5.934 c=11.133 alpha=90.00 beta=90.00 gamma=120.00
Element x y z (fractional)
Sb  0.000  0.000  0.000
Sb  0.000  0.000  0.500
Sb  0.836  0.672  0.250
Sb  0.164  0.328  0.750
Sb  0.328  0.164  0.250
Sb  0.836  0.164  0.250
Sb  0.164  0.836  0.750
Sb  0.672  0.836  0.750
Ir  0.333  0.667  0.925
Ir  0.667  0.333  0.425
Ir  0.667  0.333  0.075
Ir  0.333  0.667  0.575


No. 6
DFT (GGA-PBE) results for crystalline SbIr2 at its relaxed geometry.

Calculated values
The total energy comes out at -6.935 eV per atom. As for the energy relative to the elements, uncorrected: 0.3466 eV per atom. The calculation puts the volume at 17.1 Å³ per atom.

Unit cell a=4.386 b=4.386 c=3.085 alpha=90.00 beta=90.00 gamma=120.00
Element x y z (fractional)
Ir  0.667  0.333  0.262
Ir  0.333  0.667  0.738
Sb  0.000  0.000  0.000


No. 7
DFT (GGA-PBE) results for crystalline Sb3Ir at its relaxed geometry.

Calculated values
The total energy comes out at -4.755 eV per atom. As for the energy relative to the elements, uncorrected: 0.5525 eV per atom. The calculation puts the volume at 22.7 Å³ per atom.

Unit cell a=5.772 b=5.772 c=5.772 alpha=116.53 beta=116.53 gamma=116.53
Element x y z (fractional)
Ir  0.000  0.000  0.000
Sb  0.000  0.500  0.500
Sb  0.500  0.000  0.500
Sb  0.500  0.500  0.000


No. 8
DFT (GGA-PBE) results for crystalline Sb3Ir at its relaxed geometry.

Calculated values
The total energy comes out at -5.244 eV per atom. As for the energy relative to the elements, uncorrected: 0.0635 eV per atom. The calculation puts the volume at 24.7 Å³ per atom.

Unit cell a=3.899 b=3.899 c=7.795 alpha=75.97 beta=75.97 gamma=60.12
Element x y z (fractional)
Ir  0.000  0.000  0.000
Sb  0.500  0.500  0.500
Sb  0.730  0.730  0.803
Sb  0.270  0.270  0.197


No. 9
DFT (GGA-PBE) results for crystalline SbIr3 at its relaxed geometry.

Calculated values
The total energy comes out at -7.423 eV per atom. As for the energy relative to the elements, uncorrected: 0.2537 eV per atom. The calculation puts the volume at 16.2 Å³ per atom.

Unit cell a=4.763 b=4.763 c=4.947 alpha=79.61 beta=79.61 gamma=36.13
Element x y z (fractional)
Ir  0.500  0.500  0.500
Ir  0.248  0.248  0.268
Ir  0.752  0.752  0.732
Sb  0.000  0.000  0.000


No. 10
DFT (GGA-PBE) results for crystalline Sb3Ir at its relaxed geometry.

Calculated values
The total energy comes out at -4.829 eV per atom. As for the energy relative to the elements, uncorrected: 0.4779 eV per atom. The calculation puts the volume at 22.4 Å³ per atom.

Unit cell a=5.121 b=5.121 c=3.418 alpha=90.00 beta=90.00 gamma=90.00
Element x y z (fractional)
Ir  0.000  0.000  0.000
Sb  0.500  0.000  0.500
Sb  0.500  0.500  0.000
Sb  0.000  0.500  0.500


No. 11
DFT (GGA-PBE) results for crystalline Sb4Ir at its relaxed geometry.

Calculated values
The total energy comes out at -4.637 eV per atom. As for the energy relative to the elements, uncorrected: 0.4335 eV per atom. The calculation puts the volume at 28.4 Å³ per atom.

Unit cell a=5.216 b=5.216 c=5.216 alpha=90.00 beta=90.00 gamma=90.00
Element x y z (fractional)
Sb  0.000  0.000  0.000
Sb  0.500  0.000  0.500
Sb  0.000  0.500  0.500
Sb  0.500  0.500  0.000
Ir  0.500  0.500  0.500


No. 12
DFT (GGA-PBE) results for crystalline SbIr3 at its relaxed geometry.

Calculated values
The total energy comes out at -7.071 eV per atom. As for the energy relative to the elements, uncorrected: 0.6052 eV per atom. The calculation puts the volume at 16.8 Å³ per atom.

Unit cell a=2.868 b=2.868 c=9.560 alpha=90.00 beta=90.00 gamma=121.17
Element x y z (fractional)
Ir  0.000  0.000  0.988
Ir  0.500  0.500  0.750
Ir  0.000  0.000  0.512
Sb  0.500  0.500  0.250


No. 13
DFT (GGA-PBE) results for crystalline Sb8Ir at its relaxed geometry.

Calculated values
The total energy comes out at -4.511 eV per atom. As for the energy relative to the elements, uncorrected: 0.1377 eV per atom. The calculation puts the volume at 28.2 Å³ per atom.

Unit cell a=8.463 b=8.463 c=8.463 alpha=92.78 beta=92.78 gamma=154.56
Element x y z (fractional)
Sb  0.628  0.372  0.000
Sb  0.372  0.628  0.000
Sb  0.000  0.651  0.651
Sb  0.372  0.372  0.744
Sb  0.651  0.000  0.651
Sb  0.628  0.628  0.256
Sb  0.000  0.349  0.349
Sb  0.349  0.000  0.349
Ir  0.000  0.000  0.000


No. 14
DFT (GGA-PBE) results for crystalline Sb3Ir at its relaxed geometry.

Calculated values
The total energy comes out at -5.157 eV per atom. As for the energy relative to the elements, uncorrected: 0.1499 eV per atom. The calculation puts the volume at 25.7 Å³ per atom.

Unit cell a=3.562 b=3.562 c=9.338 alpha=90.00 beta=90.00 gamma=120.00
Element x y z (fractional)
Ir  0.000  0.000  0.000
Sb  0.000  0.000  0.500
Sb  0.667  0.333  0.186
Sb  0.667  0.333  0.814


No. 15
DFT (GGA-PBE) results for crystalline SbIr3 at its relaxed geometry.

Calculated values
The total energy comes out at -7.482 eV per atom. As for the energy relative to the elements, uncorrected: 0.1943 eV per atom. The calculation puts the volume at 16.6 Å³ per atom.

Unit cell a=5.539 b=5.539 c=4.494 alpha=90.00 beta=90.00 gamma=105.66
Element x y z (fractional)
Sb  0.640  0.360  0.750
Sb  0.360  0.640  0.250
Ir  0.201  0.799  0.750
Ir  0.799  0.201  0.250
Ir  0.720  0.873  0.750
Ir  0.280  0.127  0.250
Ir  0.873  0.720  0.250
Ir  0.127  0.280  0.750


No. 16
DFT (GGA-PBE) results for crystalline Sb2Ir at its relaxed geometry.

Calculated values
The total energy comes out at -5.671 eV per atom. As for the energy relative to the elements, uncorrected: 0.0314 eV per atom. The calculation puts the volume at 21.6 Å³ per atom.

Unit cell a=5.532 b=5.532 c=5.532 alpha=107.00 beta=107.00 gamma=114.54
Element x y z (fractional)
Sb  0.166  0.334  0.500
Sb  0.834  0.666  0.500
Sb  0.666  0.166  0.832
Sb  0.334  0.834  0.168
Ir  0.750  0.750  0.000
Ir  0.250  0.250  0.000


No. 17
DFT (GGA-PBE) results for crystalline SbIr2 at its relaxed geometry.

Calculated values
The total energy comes out at -6.958 eV per atom. As for the energy relative to the elements, uncorrected: 0.3238 eV per atom. The calculation puts the volume at 16.9 Å³ per atom.

Unit cell a=8.069 b=8.069 c=4.266 alpha=90.00 beta=90.00 gamma=158.55
Element x y z (fractional)
Sb  0.111  0.889  0.750
Sb  0.889  0.111  0.250
Ir  0.780  0.220  0.750
Ir  0.439  0.561  0.750
Ir  0.220  0.780  0.250
Ir  0.561  0.439  0.250


No. 18
DFT (GGA-PBE) results for crystalline Sb3Ir at its relaxed geometry.

Calculated values
The total energy comes out at -5.212 eV per atom. As for the energy relative to the elements, uncorrected: 0.0954 eV per atom. The calculation puts the volume at 23.9 Å³ per atom.

Unit cell a=3.209 b=3.209 c=9.280 alpha=90.00 beta=90.00 gamma=90.04
Element x y z (fractional)
Ir  0.000  0.000  0.000
Sb  0.500  0.500  0.814
Sb  0.000  0.000  0.500
Sb  0.500  0.500  0.186


No. 19
DFT (GGA-PBE) results for crystalline Sb3Ir at its relaxed geometry.

Calculated values
The total energy comes out at -5.223 eV per atom. As for the energy relative to the elements, uncorrected: 0.0844 eV per atom. The calculation puts the volume at 27.7 Å³ per atom.

Unit cell a=7.602 b=7.602 c=3.867 alpha=90.00 beta=90.00 gamma=97.25
Element x y z (fractional)
Sb  0.214  0.786  0.750
Sb  0.786  0.214  0.250
Sb  0.592  0.805  0.750
Sb  0.408  0.195  0.250
Sb  0.805  0.592  0.250
Sb  0.195  0.408  0.750
Ir  0.598  0.402  0.750
Ir  0.402  0.598  0.250


No. 20
DFT (GGA-PBE) results for crystalline Sb3Ir at its relaxed geometry.

Calculated values
The total energy comes out at -4.836 eV per atom. As for the energy relative to the elements, uncorrected: 0.4706 eV per atom. The calculation puts the volume at 22.6 Å³ per atom.

Unit cell a=5.057 b=5.057 c=3.614 alpha=90.00 beta=90.00 gamma=102.49
Element x y z (fractional)
Ir  0.000  0.000  0.000
Sb  0.000  0.500  0.500
Sb  0.500  0.000  0.500
Sb  0.500  0.500  0.000